TeRu2Se: single point on PBEsol structure, meta-GGA SCAN.

Lattice parameters (Å, degrees): 3.0437 3.0437 7.9513 90.00 90.00 90.00
Positions (direct):
Ru: 0.0000 0.0000 0.0067
Ru: 0.5000 0.5000 0.2584
Se: 0.0000 0.0000 0.4163
Te: 0.5000 0.5000 0.8186

Computed properties:
- Distance to the lowest polymorph of the same formula: 0 meV/atom
- Calculated total energy: -126.6 eV/cell
- E_form (uncorrected): 0.3 eV per formula unit

=====

CoIr2Se: single point on PBEsol structure, meta-GGA SCAN.

Lattice parameters (Å, degrees): 2.8415 4.3647 5.1282 115.19 106.08 90.00
Last column: magnetic moment on the atom in μB.
Positions (direct):
Co: 0.2289 0.7289 0.4577  -1.88
Ir: 0.9938 0.9938 0.9875  -0.40
Ir: 0.7708 0.2708 0.5416  -0.39
Se: 0.5065 0.5065 0.0131  0.00

Computed properties:
- Calculated total energy: -177.5 eV/cell
- E_form (uncorrected): 2.1 eV per formula unit

=====

LiCaIn2: single point on PBEsol structure, meta-GGA SCAN.

Lattice parameters (Å, degrees): 4.7125 4.7125 5.9148 66.52 66.52 60.00
Positions (direct):
Ca: 0.5000 0.5000 0.5000
In: 0.2886 0.2886 0.1341
In: 0.7114 0.7114 0.8659
Li: 0.0000 0.0000 0.0000

Computed properties:
- Calculated formation energy: -0.482 eV per atom
- Calculated total energy: -80.8 eV/cell

=====

Zr5Au: single point on PBEsol structure, meta-GGA SCAN.

Lattice parameters (Å, degrees): 3.1720 3.1720 12.6413 90.00 90.00 90.00
Positions (direct):
Au: 0.5000 0.5000 0.5000
Zr: 0.0000 0.0000 0.6518
Zr: 0.5000 0.5000 0.8256
Zr: 0.0000 0.0000 0.0000
Zr: 0.5000 0.5000 0.1744
Zr: 0.0000 0.0000 0.3482

Computed properties:
- Calculated formation energy: -0.252 eV per atom
- Distance to the lowest polymorph of the same formula: 0 meV/atom
- Calculated total energy: -224.2 eV/cell

=====

Cr2CuMo: single point on PBEsol structure, meta-GGA SCAN.

Lattice parameters (Å, degrees): 2.5707 2.5707 8.9361 81.73 81.73 60.00
Last column: magnetic moment on the atom in μB.
Positions (direct):
Cr: 0.0040 0.0040 0.9879  1.04
Cr: 0.7493 0.7493 0.7521  0.12
Cu: 0.4961 0.4961 0.5117  0.00
Mo: 0.2506 0.2506 0.2483  -0.06

Computed properties:
- Calculated formation energy: 0.487 eV per atom
- Distance to the lowest polymorph of the same formula: 247 meV/atom
- Calculated total energy: -84.9 eV/cell

=====

ZrRu3C: single point on PBEsol structure, meta-GGA SCAN.

Lattice parameters (Å, degrees): 4.6744 4.6744 4.6744 90.00 90.00 90.00
Last column: magnetic moment on the atom in μB.
Positions (direct):
Ru: 0.0000 0.5000 0.0000  1.39
Ru: 0.0000 0.0000 0.5000  1.39
Ru: 0.5000 0.0000 0.0000  1.39
C: 0.5000 0.5000 0.5000  -0.62
Zr: 0.0000 0.0000 0.0000  -0.24

Computed properties:
- Calculated formation energy: 3.093 eV per atom
- Distance to the lowest polymorph of the same formula: 3487 meV/atom
- Calculated total energy: -129.8 eV/cell

=====

Sr3Tl: single point on PBEsol structure, meta-GGA SCAN.

Lattice parameters (Å, degrees): 4.1446 4.1446 12.1023 80.14 80.14 60.00
Positions (direct):
Sr: 0.7342 0.7342 0.7974
Sr: 0.5000 0.5000 0.5000
Sr: 0.2658 0.2658 0.2026
Tl: 0.0000 0.0000 0.0000

Computed properties:
- Calculated formation energy: -0.203 eV per atom
- Calculated total energy: -140.0 eV/cell

=====

Pr3Si2Cl3O7: single point on PBEsol structure, meta-GGA SCAN.

Lattice parameters (Å, degrees): 5.2772 7.8066 12.0868 90.00 90.00 108.54
Positions (direct):
Pr: 0.2986 0.4698 0.8961
Pr: 0.0318 0.9185 0.8773
Pr: 0.9682 0.0815 0.3773
Pr: 0.4428 0.7975 0.6205
Pr: 0.5572 0.2025 0.1205
Pr: 0.7014 0.5302 0.3961
Si: 0.6138 0.1817 0.8243
Si: 0.2124 0.4349 0.2110
Si: 0.3862 0.8183 0.3243
Si: 0.7876 0.5651 0.7110
Cl: 0.1526 0.4435 0.4934
Cl: 0.5403 0.1676 0.4923
Cl: 0.0101 0.9947 0.1170
Cl: 0.8474 0.5565 0.9934
Cl: 0.9899 0.0053 0.6170
Cl: 0.4597 0.8324 0.9923
O: 0.2771 0.4031 0.0840
O: 0.5802 0.8050 0.4288
O: 0.1004 0.6198 0.7480
O: 0.0843 0.8078 0.3598
O: 0.5613 0.0012 0.2624
O: 0.3476 0.3031 0.2805
O: 0.6524 0.6969 0.7805
O: 0.3896 0.6384 0.2527
O: 0.8996 0.3802 0.2480
O: 0.6104 0.3616 0.7527
O: 0.4198 0.1950 0.9288
O: 0.9157 0.1922 0.8598
O: 0.4387 0.9988 0.7624
O: 0.7229 0.5969 0.5840

Computed properties:
- Calculated total energy: -532.9 eV/cell
- E_form (uncorrected): -48.9 eV per formula unit

=====

Number 1: calculated volume 18.416 Å³ per atom. Number 2: calculated volume 13.698 Å³ per atom. Number 3: calculated volume 25.251 Å³ per atom. Number 4: calculated volume 21.199 Å³ per atom. Number 5: calculated volume 12.608 Å³ per atom. Number 6: calculated volume 20.427 Å³ per atom. Number 7: calculated volume 44.120 Å³ per atom. Number 8: calculated volume 15.737 Å³ per atom.